Computed, not measured: crystalline SrP2PdRu at its relaxed geometry at the PBE-GGA level of DFT.

* raw total energy: -0.4531 Ry per atom
* spin magnetization: 0.0 μB per cell

CIF file:
```
data_SrP2PdRu
_space_group_name_H-M_alt 'I -4 m 2'
_space_group_IT_number 119
_space_group_name_Hall 'I -4 -2'
_cell_length_a 3.986
_cell_length_b 3.986
_cell_length_c 11.944
_cell_angle_alpha 90.00
_cell_angle_beta 90.00
_cell_angle_gamma 90.00
loop_
_atom_site_label
_atom_site_type_symbol
_atom_site_fract_x
_atom_site_fract_y
_atom_site_fract_z
Sr1 Sr 0.000 0.000 0.000
P1 P 0.000 0.000 0.360
Pd1 Pd 0.000 0.500 0.250
Ru1 Ru 0.000 0.500 0.750
```